# 1
RbB2Se2: relaxed, PBE.

Computed properties:
N(E_F)   0.528 states/eV per atom
Spin magnetization   0.0 μB per formula unit
Formation energy from raw total energies   863 meV per atom
ΔE to the lowest computed polymorph   0.914 eV per formula unit
Symmetry   No. 127

The structure in extended XYZ format:
```
10
Lattice="7.659 0.000 0.000 0.000 7.659 0.000 0.000 0.000 3.965" Properties=species:S:1:pos:R:3 pbc="T T T"
Rb 0.000 0.000 0.000
Rb 3.830 3.830 0.000
B 0.572 3.258 0.000
B 3.258 7.087 0.000
B 4.402 0.572 0.000
B 7.087 4.402 0.000
Se 0.877 4.707 1.982
Se 2.953 0.877 1.982
Se 4.707 6.782 1.982
Se 6.782 2.953 1.982
```

=====

# 2
Rb2B2Se7: relaxed, PBE.

Computed properties:
N(E_F)   0.000 states/eV per atom
Spin magnetization   0.0 μB per formula unit
Formation energy from raw total energies   -526 meV per atom
Symmetry   No. 15

The structure in extended XYZ format:
```
22
Lattice="8.191 -3.754 0.000 8.191 3.754 0.000 -7.192 0.000 10.904" Properties=species:S:1:pos:R:3 pbc="T T T"
Rb -0.534 2.081 10.646
Rb 6.129 2.081 5.709
Rb 3.062 -2.081 5.194
Rb 9.725 -2.081 0.258
B 1.615 1.733 7.097
B 3.979 1.733 9.258
B 5.211 -1.733 1.645
B 7.575 -1.733 3.806
Se -0.626 0.139 2.971
Se -4.221 -0.139 8.423
Se -0.280 0.956 7.239
Se 2.551 1.510 5.283
Se 3.316 -0.956 1.787
Se 10.235 1.510 0.169
Se 2.797 0.403 8.178
Se 6.393 -0.403 2.726
Se -1.045 -1.510 10.735
Se 5.875 0.956 9.117
Se 6.640 -1.510 5.621
Se 9.471 -0.956 3.665
Se 13.412 0.139 2.481
Se 9.816 -0.139 7.932
```

=====

# 3
RbB2Se8: relaxed, PBE.

Computed properties:
N(E_F)   0.509 states/eV per atom
Spin magnetization   0.0 μB per formula unit
Formation energy from raw total energies   -124 meV per atom
Symmetry   No. 12

The structure in extended XYZ format:
```
11
Lattice="5.381 -7.748 0.000 5.381 7.748 0.000 -0.879 0.000 3.375" Properties=species:S:1:pos:R:3 pbc="T T T"
Rb 0.000 0.000 0.000
B 4.942 2.980 1.688
B 4.942 -2.980 1.688
Se 3.216 1.979 1.186
Se 5.381 4.209 0.000
Se 2.798 0.000 2.807
Se 3.216 -1.979 1.186
Se 6.667 1.979 2.190
Se 7.086 0.000 0.568
Se 5.381 -4.209 0.000
Se 6.667 -1.979 2.190
```

=====

# 4
Rb2B2Se5: relaxed, PBE.

Computed properties:
N(E_F)   0.078 states/eV per atom
Spin magnetization   0.0 μB per formula unit
Formation energy from raw total energies   -366 meV per atom
Symmetry   No. 12

The structure in extended XYZ format:
```
9
Lattice="7.079 -2.588 0.000 7.079 2.588 0.000 -0.282 0.000 7.970" Properties=species:S:1:pos:R:3 pbc="T T T"
Rb 1.376 0.000 2.419
Rb 12.501 0.000 5.552
B 5.283 0.000 1.068
B 8.594 0.000 6.902
Se 3.519 0.000 7.697
Se 5.169 0.000 2.930
Se 7.079 0.000 0.000
Se 8.708 0.000 5.041
Se 10.359 0.000 0.273
```